Density functional theory data (PBE+U) for a relaxed structure of GaFeF3.

The space group is Pm-3m (No. 221) and the conventional cell measures 4.139, 4.139 and 4.139 Å, with angles of 90.00, 90.00 and 90.00 degrees. The asymmetric unit holds Ga at (0.000, 0.000, 0.000), Fe at (0.500, 0.500, 0.500) and F at (0.000, 0.000, 0.500).

The calculation puts the density of states at the Fermi level at 0.733 states/eV per cell. The uncorrected energy comes out at -4.26 eV per atom. Its size of the total moment is 0.61 μB/atom.